! LuAg4Au | Alexandria via LeMat-Bulk | PBE-GGA | optimized geometry; values from VASP
! **ΔE_f**: -0.148 eV/atom
! **Total magnetic moment**: 0.000 μB per atom
! **Space-group type**: F-43m (216)
! **N(E_F)**: 8.39 states/eV/cell
&SYSTEM
  ibrav = 0, nat = 6, ntyp = 3
/
ATOMIC_SPECIES
Lu 174.97 Lu.upf
Ag 107.87 Ag.upf
Au 196.97 Au.upf
CELL_PARAMETERS angstrom
0.000 3.881 3.881
3.881 0.000 3.881
3.881 3.881 0.000
ATOMIC_POSITIONS angstrom
Lu 0.000 0.000 0.000
Ag 4.852 2.911 2.911
Ag 2.911 4.852 2.911
Ag 2.911 2.911 4.852
Ag 4.852 4.852 4.852
Au 1.941 1.941 1.941